A plane-wave DFT calculation with GGA-PBE was carried out for an optimized crystal structure of LaSm2ThSb4.

The structure belongs to space group P2/m (No. 10); the cell edges are 7.800, 4.522 and 7.834 Å and the angles 90.00°, 109.48° and 90.00°. Symmetry generates all atoms from La at (0.000, 0.000, 0.000), Sm at (0.500, 0.000, 0.500), Sm at (0.500, 0.500, 0.000), Th at (0.000, 0.500, 0.500), Sb at (0.254, 0.000, 0.748) and Sb at (0.255, 0.500, 0.255).

The energy relative to the elements, uncorrected comes out at -1.1541 eV per atom. Its electronic total energy is -5.94 eV per atom. The magnetization comes out at 0.00 μB/f.u.